Compound: Ca2ZnSi2Rh5
Source: Alexandria
Functional: PBE-GGA
Structure: relaxed

Cell and atoms, written as CIF:
```
data_Ca2ZnSi2Rh5
_chemical_formula_sum 'Ca4 Zn2 Si4 Rh10'
_symmetry_space_group_name_H-M 'P 4/m b m'
_symmetry_Int_Tables_number 127
_symmetry_space_group_name_Hall '-P 4 2ab'
_cell_length_a 10.0107
_cell_length_b 10.0107
_cell_length_c 3.2219
_cell_angle_alpha 90.00
_cell_angle_beta 90.00
_cell_angle_gamma 90.00
loop_
_atom_site_label
_atom_site_fract_x
_atom_site_fract_y
_atom_site_fract_z
Ca1 0.1731 0.3269 0.0000
Zn1 0.0000 0.0000 0.0000
Si1 0.1284 0.6284 0.0000
Rh1 0.0000 0.5000 0.5000
Rh2 0.0670 0.7917 0.5000
```

E_form (uncorrected): -0.740 eV/atom
total energy: -0.2215 hartree per atom